1.
Hf6In2Sb after structural relaxation, computed with GGA-PBE.

N(E_F), states/eV/f.u.: 6.3
Calculated total energy, eV for the cell shown: -142.1

a = 4.534 Å, b = 9.412 Å, c = 9.412 Å
α = 90.00°, β = 90.00°, γ = 90.00°
Fractional coordinates of all 18 atoms:
Hf: 0.000 0.029 0.162
Hf: 0.000 0.662 0.529
Hf: 0.000 0.638 0.862
Hf: 0.500 0.138 0.638
Hf: 0.500 0.162 0.971
Hf: 0.500 0.529 0.338
Hf: 0.000 0.971 0.838
Hf: 0.000 0.338 0.471
Hf: 0.000 0.362 0.138
Hf: 0.500 0.862 0.362
Hf: 0.500 0.838 0.029
Hf: 0.500 0.471 0.662
In: 0.000 0.293 0.793
In: 0.500 0.793 0.707
In: 0.500 0.207 0.293
In: 0.000 0.707 0.207
Sb: 0.500 0.500 0.000
Sb: 0.000 0.000 0.500

---

2.
Pm4CoAg after structural relaxation, computed with GGA-PBE.

Formation energy, eV/atom: -0.165
N(E_F), states/eV/f.u.: 5.7
Calculated total energy, eV for the cell shown: -119.8

a = 9.655 Å, b = 9.655 Å, c = 9.655 Å
α = 60.00°, β = 60.00°, γ = 60.00°
Fractional coordinates of all 24 atoms:
Pm: 0.402 0.402 0.402
Pm: 0.794 0.402 0.402
Pm: 0.402 0.794 0.402
Pm: 0.402 0.402 0.794
Pm: 0.561 0.561 0.939
Pm: 0.939 0.939 0.561
Pm: 0.561 0.939 0.561
Pm: 0.939 0.561 0.939
Pm: 0.939 0.561 0.561
Pm: 0.561 0.939 0.939
Pm: 0.188 0.188 0.812
Pm: 0.812 0.812 0.188
Pm: 0.188 0.812 0.188
Pm: 0.812 0.188 0.812
Pm: 0.812 0.188 0.188
Pm: 0.188 0.812 0.812
Co: 0.609 0.609 0.609
Co: 0.173 0.609 0.609
Co: 0.609 0.173 0.609
Co: 0.609 0.609 0.173
Ag: 0.170 0.170 0.170
Ag: 0.491 0.170 0.170
Ag: 0.170 0.491 0.170
Ag: 0.170 0.170 0.491

---

3.
Hf3TlHg after structural relaxation, computed with GGA-PBE.

Formation energy, eV/atom: 0.236
N(E_F), states/eV/f.u.: 4.8
Calculated total energy, eV for the cell shown: -125.4

a = 6.134 Å, b = 6.134 Å, c = 14.326 Å
α = 88.35°, β = 88.35°, γ = 60.23°
Fractional coordinates of all 20 atoms:
Hf: 0.694 0.922 0.802
Hf: 0.078 0.306 0.698
Hf: 0.306 0.078 0.198
Hf: 0.922 0.694 0.302
Hf: 0.547 0.835 0.615
Hf: 0.165 0.453 0.885
Hf: 0.453 0.165 0.385
Hf: 0.835 0.547 0.115
Hf: 0.197 0.929 0.849
Hf: 0.071 0.803 0.651
Hf: 0.929 0.197 0.349
Hf: 0.803 0.071 0.151
Tl: 0.739 0.360 0.937
Tl: 0.640 0.261 0.563
Tl: 0.261 0.640 0.063
Tl: 0.360 0.739 0.437
Hg: 0.000 0.500 0.500
Hg: 0.500 0.000 0.000
Hg: 0.461 0.539 0.250
Hg: 0.539 0.461 0.750

---

4.
ReBS4 after structural relaxation, computed with GGA-PBE.

N(E_F), states/eV/f.u.: 3.0
Calculated total energy, eV for the cell shown: -69.5

a = 4.763 Å, b = 6.772 Å, c = 7.398 Å
α = 98.25°, β = 90.00°, γ = 110.59°
Fractional coordinates of all 12 atoms:
Re: 0.195 0.390 0.304
Re: 0.805 0.610 0.696
B: 0.124 0.249 0.767
B: 0.876 0.751 0.233
S: 0.017 0.034 0.365
S: 0.116 0.232 0.010
S: 0.750 0.500 0.354
S: 0.635 0.270 0.761
S: 0.365 0.730 0.239
S: 0.250 0.500 0.646
S: 0.884 0.768 0.990
S: 0.983 0.966 0.635

---

5.
GdGaCuRu after structural relaxation, computed with GGA-PBE.

Formation energy, eV/atom: -0.189
N(E_F), states/eV/f.u.: 2.2
Calculated total energy, eV for the cell shown: -31.2

a = 4.600 Å, b = 4.600 Å, c = 4.600 Å
α = 60.00°, β = 60.00°, γ = 60.00°
Site moments in Bohr magnetons follow the coordinates.
Fractional coordinates of all 4 atoms:
Ru: 0.750 0.750 0.750  0.02
Gd: 0.500 0.500 0.500  7.01
Cu: 0.250 0.250 0.250  0.01
Ga: 0.000 0.000 0.000  0.00

---

6.
MgSNF2 after structural relaxation, computed with GGA-PBE.

N(E_F), states/eV/f.u.: 3.2
Calculated total energy, eV for the cell shown: -21.0

a = 3.593 Å, b = 3.593 Å, c = 6.273 Å
α = 90.00°, β = 90.00°, γ = 90.00°
Site moments in Bohr magnetons follow the coordinates.
Fractional coordinates of all 5 atoms:
S: 0.500 0.500 0.500  -0.29
N: 0.000 0.000 0.500  0.97
Mg: 0.000 0.000 0.000  0.00
F: 0.000 0.500 0.000  0.00
F: 0.500 0.000 0.000  0.00

---

7.
TbPm4Sm3 after structural relaxation, computed with GGA-PBE.

Formation energy, eV/atom: 0.156
N(E_F), states/eV/f.u.: 13.5
Calculated total energy, eV for the cell shown: -36.5

a = 3.508 Å, b = 6.896 Å, c = 11.968 Å
α = 106.68°, β = 98.43°, γ = 90.00°
Fractional coordinates of all 8 atoms:
Tb: 0.500 0.000 0.000
Sm: 0.000 0.500 0.000
Sm: 0.124 0.883 0.248
Sm: 0.876 0.117 0.752
Pm: 0.741 0.241 0.482
Pm: 0.259 0.759 0.518
Pm: 0.124 0.366 0.248
Pm: 0.876 0.634 0.752

---

8.
MgCrPd after structural relaxation, computed with GGA-PBE.

Formation energy, eV/atom: 0.015
N(E_F), states/eV/f.u.: 2.3
Calculated total energy, eV for the cell shown: -32.7

a = 7.080 Å, b = 4.431 Å, c = 4.648 Å
α = 118.46°, β = 121.87°, γ = 51.31°
Fractional coordinates of all 6 atoms:
Cr: 0.679 0.785 0.910
Cr: 0.481 0.751 0.446
Mg: 0.955 0.214 0.317
Mg: 0.296 0.582 0.737
Pd: 0.769 0.043 0.605
Pd: 0.204 0.335 0.059

---

9.
AsPBr2 after structural relaxation, computed with GGA-PBE.

N(E_F), states/eV/f.u.: 5.2
Calculated total energy, eV for the cell shown: -10.5

a = 4.930 Å, b = 4.930 Å, c = 4.930 Å
α = 60.00°, β = 60.00°, γ = 60.00°
Fractional coordinates of all 4 atoms:
As: 0.500 0.500 0.500
Br: 0.000 0.000 0.000
Br: 0.250 0.250 0.250
P: 0.750 0.750 0.750

---

10.
Ce2SiTc2 after structural relaxation, computed with GGA-PBE.

N(E_F), states/eV/f.u.: 4.2
Calculated total energy, eV for the cell shown: -79.8

a = 5.748 Å, b = 5.748 Å, c = 8.020 Å
α = 74.49°, β = 74.49°, γ = 53.02°
Fractional coordinates of all 10 atoms:
Ce: 0.482 0.217 0.133
Ce: 0.783 0.518 0.367
Ce: 0.518 0.783 0.867
Ce: 0.217 0.482 0.633
Si: 0.078 0.922 0.250
Si: 0.922 0.078 0.750
Tc: 0.713 0.025 0.536
Tc: 0.975 0.287 0.964
Tc: 0.287 0.975 0.464
Tc: 0.025 0.713 0.036

---

11.
Ca2LaHfTe after structural relaxation, computed with GGA-PBE.

N(E_F), states/eV/f.u.: 5.2
Calculated total energy, eV for the cell shown: -17.6

a = 5.954 Å, b = 5.202 Å, c = 5.954 Å
α = 90.00°, β = 90.00°, γ = 90.00°
Fractional coordinates of all 5 atoms:
Ca: 0.000 0.000 0.500
Ca: 0.500 0.000 0.000
Te: 0.500 0.500 0.500
Hf: 0.000 0.500 0.000
La: 0.000 0.000 0.000

---

12.
DyTh5Au6 after structural relaxation, computed with GGA-PBE.

Formation energy, eV/atom: -0.614
N(E_F), states/eV/f.u.: 11.8
Calculated total energy, eV for the cell shown: -68.7

a = 5.200 Å, b = 7.573 Å, c = 8.961 Å
α = 65.00°, β = 73.00°, γ = 90.00°
Fractional coordinates of all 12 atoms:
Au: 0.837 0.607 0.325
Au: 0.837 0.068 0.325
Au: 0.500 0.788 0.000
Au: 0.500 0.212 0.000
Au: 0.163 0.932 0.675
Au: 0.163 0.393 0.675
Th: 0.683 0.182 0.636
Th: 0.349 0.349 0.302
Th: 0.000 0.500 0.000
Th: 0.651 0.651 0.698
Th: 0.317 0.818 0.364
Dy: 0.000 0.000 0.000

---

13.
CuH6Pd12 after structural relaxation, computed with GGA-PBE.

N(E_F), states/eV/f.u.: 19.2
Calculated total energy, eV for the cell shown: -87.0

a = 6.584 Å, b = 6.584 Å, c = 6.584 Å
α = 109.57°, β = 109.57°, γ = 109.57°
Fractional coordinates of all 19 atoms:
Cu: 0.000 0.000 0.000
H: 0.641 0.849 0.447
H: 0.553 0.359 0.151
H: 0.151 0.553 0.359
H: 0.359 0.151 0.553
H: 0.447 0.641 0.849
H: 0.849 0.447 0.641
Pd: 0.822 0.691 0.511
Pd: 0.511 0.822 0.691
Pd: 0.691 0.511 0.822
Pd: 0.178 0.309 0.489
Pd: 0.489 0.178 0.309
Pd: 0.309 0.489 0.178
Pd: 0.124 0.816 0.306
Pd: 0.184 0.694 0.876
Pd: 0.694 0.876 0.184
Pd: 0.876 0.184 0.694
Pd: 0.816 0.306 0.124
Pd: 0.306 0.124 0.816

---

14.
Mn2GaBSe after structural relaxation, computed with GGA-PBE.

N(E_F), states/eV/f.u.: 3.2
Calculated total energy, eV for the cell shown: -32.0

a = 3.162 Å, b = 3.162 Å, c = 8.092 Å
α = 90.00°, β = 90.00°, γ = 120.00°
Site moments in Bohr magnetons follow the coordinates.
Fractional coordinates of all 5 atoms:
B: 0.000 0.000 0.755  -0.19
Mn: 0.333 0.667 0.621  2.09
Mn: 0.667 0.333 0.875  2.25
Ga: 0.000 0.000 0.099  -0.03
Se: 0.000 0.000 0.423  -0.08

---

15.
TbCeIn2 after structural relaxation, computed with GGA-PBE.

Formation energy, eV/atom: -0.233
N(E_F), states/eV/f.u.: 6.7
Calculated total energy, eV for the cell shown: -17.0

a = 3.653 Å, b = 3.653 Å, c = 10.342 Å
α = 79.83°, β = 79.83°, γ = 60.00°
Site moments in Bohr magnetons follow the coordinates.
Fractional coordinates of all 4 atoms:
Tb: 0.000 0.000 0.000  -0.02
Ce: 0.500 0.500 0.500  0.80
In: 0.748 0.748 0.756  0.00
In: 0.252 0.252 0.244  0.00

---

16.
Ca2AsI after structural relaxation, computed with GGA-PBE.

N(E_F), states/eV/f.u.: 0.0
Calculated total energy, eV for the cell shown: -29.3

a = 6.941 Å, b = 6.941 Å, c = 8.509 Å
α = 65.93°, β = 65.93°, γ = 90.00°
Fractional coordinates of all 8 atoms:
I: 0.000 0.000 0.000
I: 0.750 0.250 0.500
As: 0.500 0.500 0.000
As: 0.250 0.750 0.500
Ca: 0.568 0.125 0.250
Ca: 0.182 0.625 0.250
Ca: 0.375 0.432 0.750
Ca: 0.875 0.818 0.750

---

17.
Rb2MgVBr6 after structural relaxation, computed with GGA-PBE.

N(E_F), states/eV/f.u.: 0.0
Calculated total energy, eV for the cell shown: -36.1

a = 7.575 Å, b = 7.575 Å, c = 7.575 Å
α = 60.00°, β = 60.00°, γ = 90.00°
Site moments in Bohr magnetons follow the coordinates.
Fractional coordinates of all 10 atoms:
Mg: 0.500 0.500 0.000  0.00
Br: 0.248 0.248 0.503  0.00
Br: 0.752 0.752 0.497  0.00
Br: 0.248 0.248 0.000  0.00
Br: 0.752 0.752 0.000  0.00
Br: 0.752 0.248 0.000  0.00
Br: 0.248 0.752 0.000  0.00
Rb: 0.750 0.250 0.500  0.00
Rb: 0.250 0.750 0.500  0.00
V: 0.000 0.000 0.000  2.61

---

18.
LaSm5Tl8 after structural relaxation, computed with GGA-PBE.

Formation energy, eV/atom: -0.296
N(E_F), states/eV/f.u.: 12.9
Calculated total energy, eV for the cell shown: -51.6

a = 8.203 Å, b = 8.203 Å, c = 8.203 Å
α = 109.89°, β = 108.63°, γ = 109.89°
Fractional coordinates of all 14 atoms:
La: 0.250 0.500 0.750
Sm: 0.009 0.381 0.130
Sm: 0.870 0.879 0.251
Sm: 0.749 0.619 0.627
Sm: 0.500 0.000 0.500
Sm: 0.373 0.121 0.991
Tl: 0.125 0.759 0.046
Tl: 0.954 0.079 0.713
Tl: 0.782 0.247 0.364
Tl: 0.636 0.418 0.883
Tl: 0.465 0.582 0.218
Tl: 0.634 0.921 0.875
Tl: 0.287 0.241 0.366
Tl: 0.117 0.753 0.535

---

19.
CeY3Se4 after structural relaxation, computed with GGA-PBE.

N(E_F), states/eV/f.u.: 8.2
Calculated total energy, eV for the cell shown: -53.5

a = 5.823 Å, b = 5.823 Å, c = 5.823 Å
α = 90.00°, β = 90.00°, γ = 90.00°
Site moments in Bohr magnetons follow the coordinates.
Fractional coordinates of all 8 atoms:
Ce: 0.000 0.000 0.000  0.79
Y: 0.000 0.500 0.500  0.06
Y: 0.500 0.000 0.500  0.06
Y: 0.500 0.500 0.000  0.06
Se: 0.500 0.000 0.000  0.00
Se: 0.000 0.500 0.000  0.00
Se: 0.000 0.000 0.500  0.00
Se: 0.500 0.500 0.500  0.00

---

20.
SrScHg2 after structural relaxation, computed with GGA-PBE.

Formation energy, eV/atom: -0.439
N(E_F), states/eV/f.u.: 3.2
Calculated total energy, eV for the cell shown: -10.4

a = 3.738 Å, b = 3.660 Å, c = 8.491 Å
α = 64.56°, β = 90.00°, γ = 90.00°
Fractional coordinates of all 4 atoms:
Sc: 0.500 0.250 0.250
Sr: 0.500 0.750 0.750
Hg: 0.000 0.958 0.041
Hg: 0.000 0.542 0.459

---

21.
Ir2PtBr after structural relaxation, computed with GGA-PBE.

N(E_F), states/eV/f.u.: 6.0
Calculated total energy, eV for the cell shown: -21.3

a = 4.654 Å, b = 4.654 Å, c = 4.654 Å
α = 125.17°, β = 125.17°, γ = 81.25°
Fractional coordinates of all 4 atoms:
Ir: 0.000 0.000 0.000
Ir: 0.500 0.500 0.000
Br: 0.750 0.250 0.500
Pt: 0.250 0.750 0.500

---

22.
Tb4Pm3Th after structural relaxation, computed with GGA-PBE.

Formation energy, eV/atom: 0.140
N(E_F), states/eV/f.u.: 12.0
Calculated total energy, eV for the cell shown: -39.1

a = 3.446 Å, b = 8.971 Å, c = 8.971 Å
α = 81.33°, β = 78.93°, γ = 78.93°
Fractional coordinates of all 8 atoms:
Tb: 0.633 0.119 0.615
Tb: 0.367 0.881 0.385
Tb: 0.367 0.385 0.881
Tb: 0.633 0.615 0.119
Th: 0.500 0.000 0.000
Pm: 0.768 0.232 0.232
Pm: 0.232 0.768 0.768
Pm: 0.000 0.500 0.500

---

23.
KVFeBr6 after structural relaxation, computed with GGA-PBE.

N(E_F), states/eV/f.u.: 18.3
Calculated total energy, eV for the cell shown: -35.8

a = 6.562 Å, b = 6.561 Å, c = 7.419 Å
α = 90.00°, β = 90.00°, γ = 60.00°
Site moments in Bohr magnetons follow the coordinates.
Fractional coordinates of all 9 atoms:
K: 0.000 0.000 0.000  0.00
V: 0.667 0.667 0.500  2.22
Fe: 0.333 0.333 0.500  0.70
Br: 0.013 0.362 0.308  -0.02
Br: 0.362 0.013 0.692  -0.02
Br: 0.625 0.362 0.692  -0.02
Br: 0.013 0.625 0.692  -0.02
Br: 0.362 0.625 0.308  -0.02
Br: 0.625 0.013 0.308  -0.02